NaAcV2O8 after structural relaxation, computed with PBE with a Hubbard U.

Results
Final energy   -82.7 eV for the cell shown
Space group   P-3m1, No. 164
Total magnetization   2.02 μB/f.u.

Lattice parameters (Å, degrees): 6.003 6.003 7.108 90.00 90.00 120.00
Element x y z (fractional)
Na1 0.000 0.000 0.000
Ac1 0.000 0.000 0.500
V1 0.333 0.667 0.182
V2 0.667 0.333 0.818
O1 0.174 0.348 0.260
O2 0.174 0.826 0.260
O3 0.333 0.667 0.940
O4 0.348 0.174 0.740
O5 0.652 0.826 0.260
O6 0.667 0.333 0.060
O7 0.826 0.174 0.740
O8 0.826 0.652 0.740